(1)
{"formula": "AcMgSiPt", "functional": "GGA-PBE", "state": "optimized geometry", "e_form_raw_ev_per_fu": -1.82, "final_energy_ev_per_atom": -4.7457, "spacegroup": "No. 216", "volume_a3_per_cell": 92, "lattice_angstrom": [[-1.386, -4.694, -1.312], [-0.740, -3.516, 3.573], [-4.688, -1.634, 1.014]], "species": ["Mg", "Ac", "Si", "Pt"], "frac_coords": [[0.500, 0.500, 0.500], [0.000, 0.000, 0.000], [0.250, 0.250, 0.250], [0.750, 0.750, 0.750]]}

=====

(2)
{"formula": "Ho4Bi3Sb", "functional": "GGA-PBE", "state": "optimized geometry", "e_form_raw_ev_per_fu": -7.26, "final_energy_ev_per_atom": -5.1670, "spacegroup": "No. 221", "volume_a3_per_cell": 246, "lattice_angstrom": [[6.269, 0.000, 0.000], [0.000, 6.269, 0.000], [0.000, 0.000, 6.269]], "species": ["Sb", "Ho", "Ho", "Ho", "Ho", "Bi", "Bi", "Bi"], "frac_coords": [[0.000, 0.000, 0.000], [0.500, 0.000, 0.000], [0.000, 0.500, 0.000], [0.000, 0.000, 0.500], [0.500, 0.500, 0.500], [0.000, 0.500, 0.500], [0.500, 0.000, 0.500], [0.500, 0.500, 0.000]]}

=====

(3)
{"formula": "CdReW", "functional": "GGA-PBE", "state": "optimized geometry", "ef_ev_per_atom": 0.437, "final_energy_ev_per_atom": -8.3351, "spacegroup": "No. 42", "volume_a3_per_cell": 52, "lattice_angstrom": [[-3.437, 5.333, -4.151], [-5.413, 3.446, -3.665], [-0.212, 2.181, 1.704]], "species": ["Re", "W", "Cd"], "frac_coords": [[0.677, 0.677, 0.323], [0.323, 0.323, 0.677], [0.000, 0.000, 0.000]]}

=====

(4)
{"formula": "Mg2BeIn", "functional": "GGA-PBE", "state": "optimized geometry", "ef_ev_per_atom": 0.296, "final_energy_ev_per_atom": -2.1178, "spacegroup": "No. 216", "volume_a3_per_cell": 76, "lattice_angstrom": [[4.751, 0.000, 0.000], [2.376, 4.115, 0.000], [2.376, 1.372, 3.879]], "species": ["Be", "Mg", "Mg", "In"], "frac_coords": [[0.500, 0.500, 0.500], [0.000, 0.000, 0.000], [0.250, 0.250, 0.250], [0.750, 0.750, 0.750]]}